Entry 1:
First-principles (PBE) data for a geometry-optimized Er6Zn2Pt structure, as listed in Alexandria.

Output
ΔH_f (0 K): -0.4230 eV/atom
Space group: Immm (71)
Excess energy over the best structure of this formula in the dataset: 0.000 eV/atom

a b c (Å): 8.336 8.336 8.336
angles (deg): 110.37 110.51 107.55
Positions (direct):
Zn: 0.500 0.372 0.872
Zn: 0.364 0.000 0.364
Zn: 0.500 0.628 0.128
Zn: 0.636 0.000 0.636
Er: 0.081 0.255 0.826
Er: 0.190 0.259 0.450
Er: 0.429 0.255 0.174
Er: 0.721 0.047 0.326
Er: 0.571 0.745 0.826
Er: 0.190 0.741 0.931
Er: 0.279 0.953 0.674
Er: 0.721 0.395 0.674
Er: 0.279 0.605 0.326
Er: 0.810 0.741 0.550
Er: 0.810 0.259 0.069
Er: 0.919 0.745 0.174
Pt: 0.000 0.000 0.000
Pt: 0.000 0.500 0.500

Entry 2:
First-principles (PBE) data for a geometry-optimized YHoTeO2 structure, as listed in Alexandria.

Output
Raw formation energy: -2.97 eV per atom
Space group: P2_1/m (11)

a b c (Å): 4.075 6.784 7.740
angles (deg): 106.50 90.00 90.00
Positions (direct):
O: 0.750 0.520 0.876
O: 0.250 0.480 0.124
O: 0.750 0.508 0.380
O: 0.250 0.492 0.620
Te: 0.750 0.953 0.241
Te: 0.250 0.047 0.759
Y: 0.250 0.669 0.922
Y: 0.750 0.331 0.078
Ho: 0.250 0.661 0.411
Ho: 0.750 0.339 0.589

Entry 3:
First-principles (PBE) data for a geometry-optimized BaPH2 structure, as listed in Alexandria.

Output
Space group: Fm-3m (225)
Excess energy over the best structure of this formula in the dataset: 0.139 eV/atom

a b c (Å): 4.505 4.505 4.505
angles (deg): 60.00 60.00 60.00
Positions (direct):
H: 0.750 0.750 0.750
H: 0.250 0.250 0.250
Ba: 0.500 0.500 0.500
P: 0.000 0.000 0.000

Entry 4:
First-principles (PBE) data for a geometry-optimized ZnW3 structure, as listed in Alexandria.

Output
ΔH_f (0 K): 0.2943 eV/atom
Space group: P6_3/mmc (194)
Excess energy over the best structure of this formula in the dataset: 0.145 eV/atom

a b c (Å): 5.607 5.607 4.629
angles (deg): 90.00 90.00 120.00
Positions (direct):
Zn: 0.667 0.333 0.750
Zn: 0.333 0.667 0.250
W: 0.840 0.160 0.250
W: 0.840 0.679 0.250
W: 0.160 0.840 0.750
W: 0.160 0.321 0.750
W: 0.679 0.840 0.750
W: 0.321 0.160 0.250

Entry 5:
First-principles (PBE) data for a geometry-optimized K3CrCu structure, as listed in Alexandria.

Output
ΔH_f (0 K): 0.7839 eV/atom
Space group: Pm-3m (221)
Excess energy over the best structure of this formula in the dataset: 0.000 eV/atom

a b c (Å): 6.257 6.257 6.257
angles (deg): 90.00 90.00 90.00
Site moments in Bohr magnetons follow the coordinates.
Positions (direct):
Cr: 0.500 0.500 0.500  4.29
K: 0.500 0.000 0.000  0.01
K: 0.000 0.000 0.500  0.01
K: 0.000 0.500 0.000  0.02
Cu: 0.000 0.000 0.000  0.01

Entry 6:
First-principles (PBE) data for a geometry-optimized BiPb3Br structure, as listed in Alexandria.

Output
Raw formation energy: 0.38 eV per atom
Space group: Pm-3m (221)
Excess energy over the best structure of this formula in the dataset: 0.506 eV/atom

a b c (Å): 5.763 5.763 5.763
angles (deg): 90.00 90.00 90.00
Positions (direct):
Bi: 0.500 0.500 0.500
Pb: 0.000 0.000 0.500
Pb: 0.000 0.500 0.000
Pb: 0.500 0.000 0.000
Br: 0.000 0.000 0.000

Entry 7:
First-principles (PBE) data for a geometry-optimized Mg2CrCu structure, as listed in Alexandria.

Output
ΔH_f (0 K): 0.2342 eV/atom
Space group: I4/mmm (139)
Excess energy over the best structure of this formula in the dataset: 0.013 eV/atom

a b c (Å): 4.775 4.775 4.280
angles (deg): 63.35 63.35 53.23
Site moments in Bohr magnetons follow the coordinates.
Positions (direct):
Mg: 0.500 0.500 0.500  -0.01
Mg: 0.000 0.000 0.000  -0.01
Cr: 0.250 0.250 0.250  3.59
Cu: 0.750 0.750 0.750  0.04

Entry 8:
First-principles (PBE) data for a geometry-optimized Ta2FeTcBi structure, as listed in Alexandria.

Output
ΔH_f (0 K): 0.7910 eV/atom
Space group: P4/mmm (123)

a b c (Å): 4.640 4.544 4.640
angles (deg): 90.00 90.00 90.00
Positions (direct):
Ta: 0.000 0.000 0.500
Ta: 0.500 0.000 0.000
Bi: 0.500 0.500 0.500
Tc: 0.000 0.500 0.000
Fe: 0.000 0.000 0.000

Entry 9:
First-principles (PBE) data for a geometry-optimized SmCrB14 structure, as listed in Alexandria.

Output
ΔH_f (0 K): -0.1544 eV/atom
Space group: Imma (74)

a b c (Å): 5.860 7.395 7.395
angles (deg): 67.87 66.66 66.66
Site moments in Bohr magnetons follow the coordinates.
Positions (direct):
B: 0.674 0.029 0.126  0.01
B: 0.902 0.777 0.099  0.02
B: 0.598 0.401 0.723  0.02
B: 0.778 0.223 0.901  0.02
B: 0.373 0.995 0.260  0.01
B: 0.167 0.803 0.864  0.01
B: 0.278 0.401 0.723  0.02
B: 0.671 0.626 0.529  0.01
B: 0.127 0.240 0.505  0.01
B: 0.329 0.374 0.471  0.01
B: 0.083 0.086 0.747  0.00
B: 0.833 0.197 0.136  0.01
B: 0.222 0.777 0.099  0.02
B: 0.098 0.223 0.901  0.02
B: 0.171 0.029 0.126  0.01
B: 0.333 0.636 0.697  0.01
B: 0.417 0.753 0.414  0.00
B: 0.826 0.374 0.471  0.01
B: 0.722 0.599 0.277  0.02
B: 0.174 0.626 0.529  0.01
B: 0.667 0.364 0.303  0.01
B: 0.583 0.247 0.586  0.00
B: 0.873 0.760 0.495  0.01
B: 0.326 0.971 0.874  0.01
B: 0.627 0.005 0.740  0.01
B: 0.402 0.599 0.277  0.02
B: 0.917 0.914 0.253  0.00
B: 0.829 0.971 0.874  0.01
Sm: 0.750 0.622 0.878  -0.01
Sm: 0.250 0.378 0.122  -0.01
Cr: 0.500 0.000 0.500  2.43
Cr: 0.000 0.000 0.500  2.43

Entry 10:
First-principles (PBE) data for a geometry-optimized LaScIr2 structure, as listed in Alexandria.

Output
ΔH_f (0 K): -0.6327 eV/atom
Space group: Pmm2 (25)
Excess energy over the best structure of this formula in the dataset: 0.094 eV/atom

a b c (Å): 4.947 3.242 5.016
angles (deg): 90.00 90.00 90.00
Positions (direct):
Ir: 0.500 0.125 0.340
Ir: 0.000 0.125 0.893
Sc: 0.500 0.625 0.878
La: 0.000 0.625 0.389

Entry 11:
First-principles (PBE) data for a geometry-optimized Sm12DyAl4N3 structure, as listed in Alexandria.

Output
Raw formation energy: -0.34 eV per atom
Space group: Im-3m (229)

a b c (Å): 8.740 8.740 8.740
angles (deg): 109.47 109.47 109.47
Positions (direct):
Sm: 0.275 0.000 0.275
Sm: 0.000 0.725 0.725
Sm: 0.250 0.500 0.750
Sm: 0.500 0.250 0.750
Sm: 0.725 0.725 0.000
Sm: 0.725 0.000 0.725
Sm: 0.000 0.275 0.275
Sm: 0.750 0.250 0.500
Sm: 0.750 0.500 0.250
Sm: 0.275 0.275 0.000
Sm: 0.250 0.750 0.500
Sm: 0.500 0.750 0.250
Al: 0.500 0.500 0.500
Al: 0.500 0.000 0.000
Al: 0.000 0.500 0.000
Al: 0.000 0.000 0.500
N: 0.500 0.000 0.500
N: 0.000 0.500 0.500
N: 0.500 0.500 0.000
Dy: 0.000 0.000 0.000

Entry 12:
First-principles (PBE) data for a geometry-optimized V6PN structure, as listed in Alexandria.

Output
Raw formation energy: -0.47 eV per atom
Space group: P-1 (2)

a b c (Å): 5.523 5.180 6.371
angles (deg): 60.60 46.09 48.58
Positions (direct):
V: 0.929 0.454 0.880
V: 0.071 0.546 0.120
V: 0.562 0.799 0.673
V: 0.177 0.905 0.242
V: 0.438 0.201 0.327
V: 0.823 0.095 0.758
N: 0.000 0.000 0.000
P: 0.500 0.500 0.500

Number 1: spin magnetization 0.0 μB/cell, density 9.91 g/cm3. Number 2: spin magnetization 0.0 μB/cell, density 6.69 g/cm3. Number 3: spin magnetization 0.0 μB/cell, density 4.38 g/cm3. Number 4: spin magnetization 0.0 μB/cell, density 16.25 g/cm3. Number 5: spin magnetization 5.8 μB/cell, density 1.58 g/cm3. Number 6: spin magnetization 0.0 μB/cell, density 7.90 g/cm3. Number 7: spin magnetization 3.9 μB/cell, density 4.03 g/cm3. Number 8: spin magnetization 0.0 μB/cell, density 12.30 g/cm3. Number 9: spin magnetization 5.6 μB/cell, density 4.50 g/cm3. Number 10: spin magnetization 0.0 μB/cell, density 11.73 g/cm3. Number 11: spin magnetization 0.0 μB/cell, density 6.84 g/cm3. Number 12: spin magnetization 0.0 μB/cell, density 5.92 g/cm3.